# 1
# La3Tb2Er4

A relaxed La3Tb2Er4 crystal (PBE-GGA, Alexandria).

Values from the calculation:
Size of the total moment (μB per formula unit): 0.000
DOS at the Fermi energy (states/eV/cell): 27.2
ΔE_f (eV/atom): 0.105
Uncorrected energy (eV per atom): -4.59
SG: C2/c

Cell and atoms, written as extended XYZ:
```
18
Lattice="-3.261 -4.174 -3.166 5.762 -6.827 -6.855 0.984 -10.742 3.228" Properties=species:S:1:pos:R:3 pbc="T T T"
Tb 0.605 -9.101 -1.480
La 2.572 -18.310 -3.997
Er -0.692 -11.684 0.394
La 0.320 -12.413 -2.906
La 3.165 -9.330 -3.886
La 5.508 -15.153 -5.169
Er 4.563 -6.627 -5.671
Er 0.510 -6.793 -4.065
La 0.913 -3.432 -2.795
Er 2.975 -14.950 -2.727
Er 0.991 -5.648 -0.055
Tb 3.292 -11.553 -1.159
Er -1.078 -15.115 -1.121
La -2.024 -6.589 -1.623
Tb 2.880 -12.642 -5.312
Er 2.494 -16.094 -6.737
Er 4.176 -10.058 -7.187
Tb 0.193 -10.190 -5.633
```


# 2
# LaTb5Er8

A relaxed LaTb5Er8 crystal (PBE-GGA, Alexandria).

Values from the calculation:
Size of the total moment (μB per formula unit): 0.000
DOS at the Fermi energy (states/eV/cell): 20.3
ΔE_f (eV/atom): 0.243
Uncorrected energy (eV per atom): -4.37
SG: I-4

Cell and atoms, written as extended XYZ:
```
14
Lattice="-7.589 -0.878 -3.458 0.847 -6.160 5.626 0.743 7.502 3.672" Properties=species:S:1:pos:R:3 pbc="T T T"
Er -3.447 -2.470 4.127
Tb -4.532 0.548 2.741
Er -1.249 -0.376 1.938
Er -5.762 -1.500 0.328
Tb -3.331 0.560 -0.603
Er 0.595 -4.045 4.667
Er -0.274 1.926 5.525
La -0.890 -1.089 5.191
Tb -5.843 3.635 1.566
Er -2.515 2.972 1.702
Tb -3.371 -3.519 1.084
Er 0.774 -0.438 8.025
Tb -6.729 1.467 -1.106
Er -3.682 0.505 6.135
```


# 3
# La3Tb3Er5

A relaxed La3Tb3Er5 crystal (PBE-GGA, Alexandria).

Values from the calculation:
Size of the total moment (μB per formula unit): 0.002
DOS at the Fermi energy (states/eV/cell): 13.0
ΔE_f (eV/atom): 0.783
Uncorrected energy (eV per atom): -3.90
SG: P-62m

Cell and atoms, written as extended XYZ:
```
11
Lattice="5.342 0.000 0.000 0.000 9.673 0.000 0.000 -4.837 8.377" Properties=species:S:1:pos:R:3 pbc="T T T"
Tb 0.000 4.979 0.000
Tb 0.000 2.347 4.065
Er 2.671 0.000 5.585
La 2.671 3.463 0.000
Tb 0.000 -2.490 4.312
Er 2.671 6.961 0.000
Er 2.671 -3.480 6.028
Er 2.671 1.356 2.349
La 2.671 3.105 5.378
Er 2.671 4.837 2.792
La 2.671 -1.731 2.999
```


# 4
# LaTb7Er4

A relaxed LaTb7Er4 crystal (PBE-GGA, Alexandria).

Values from the calculation:
Size of the total moment (μB per formula unit): 0.002
DOS at the Fermi energy (states/eV/cell): 16.9
ΔE_f (eV/atom): 0.000
Uncorrected energy (eV per atom): -4.63
SG: P-1

Cell and atoms, written as extended XYZ:
```
12
Lattice="6.881 1.877 0.862 5.116 7.625 2.429 -0.987 -0.429 8.781" Properties=species:S:1:pos:R:3 pbc="T T T"
Er 7.017 6.353 5.156
Er 2.723 2.059 3.720
Tb 3.441 0.938 0.431
Tb 4.853 6.059 7.912
Tb 3.271 3.847 10.206
Er 3.993 2.719 6.916
Tb 7.468 3.671 7.346
Er 8.287 7.013 8.353
Tb 7.739 5.226 1.866
Tb 3.542 5.401 4.727
Tb 6.157 3.014 4.161
La 0.000 0.000 0.000
```


# 5
# La15TbEr4

A relaxed La15TbEr4 crystal (PBE-GGA, Alexandria).

Values from the calculation:
Size of the total moment (μB per formula unit): 0.000
DOS at the Fermi energy (states/eV/cell): 24.9
ΔE_f (eV/atom): 0.007
Uncorrected energy (eV per atom): -4.83
SG: P4/mmm

Cell and atoms, written as extended XYZ:
```
20
Lattice="5.199 0.000 0.000 0.000 5.199 0.000 0.000 0.000 25.998" Properties=species:S:1:pos:R:3 pbc="T T T"
La 0.000 2.599 12.999
La 0.000 2.599 2.609
La 0.000 2.599 23.389
La 2.599 2.599 5.203
La 2.599 0.000 12.999
La 0.000 2.599 18.196
Er 0.000 0.000 5.206
La 2.599 0.000 23.389
Er 0.000 0.000 20.792
La 2.599 0.000 2.609
Er 0.000 0.000 10.400
La 2.599 2.599 10.400
La 2.599 2.599 0.000
La 2.599 0.000 7.802
La 0.000 2.599 7.802
La 2.599 2.599 20.795
La 2.599 2.599 15.598
Er 0.000 0.000 15.598
La 2.599 0.000 18.196
Tb 0.000 0.000 0.000
```


# 6
# La2Tb3Er4

A relaxed La2Tb3Er4 crystal (PBE-GGA, Alexandria).

Values from the calculation:
Size of the total moment (μB per formula unit): 0.000
DOS at the Fermi energy (states/eV/cell): 17.4
ΔE_f (eV/atom): 0.185
Uncorrected energy (eV per atom): -4.48
SG: Fmmm

Cell and atoms, written as extended XYZ:
```
9
Lattice="6.721 -0.939 -1.395 -3.866 5.578 -1.395 0.468 0.759 8.451" Properties=species:S:1:pos:R:3 pbc="T T T"
Tb -1.933 2.789 -0.698
Er 2.232 0.225 2.657
La 1.863 3.026 0.224
Er 1.091 5.173 3.003
La 1.460 2.372 5.436
Er -0.805 2.094 2.657
Er 4.128 3.304 3.003
Tb 3.361 -0.470 -0.698
Tb 0.000 0.000 0.000
```


# 7
# LaTb4Er10

A relaxed LaTb4Er10 crystal (PBE-GGA, Alexandria).

Values from the calculation:
Size of the total moment (μB per formula unit): 0.011
DOS at the Fermi energy (states/eV/cell): 29.4
ΔE_f (eV/atom): 0.560
Uncorrected energy (eV per atom): -4.05
SG: I4/m

Cell and atoms, written as extended XYZ:
```
15
Lattice="5.895 0.000 2.662 2.948 9.063 1.331 -0.782 0.000 9.591" Properties=species:S:1:pos:R:3 pbc="T T T"
Er 2.853 1.472 5.478
Er 2.266 7.591 6.777
Er 4.247 3.818 10.247
Er 1.295 3.818 8.914
Tb 2.552 2.183 2.206
Tb 4.997 8.103 4.651
Tb 5.508 6.880 11.378
Er 2.557 4.532 6.126
Er 3.813 5.245 3.337
La 0.000 0.000 0.000
Er 5.208 7.591 8.106
Tb 3.064 0.960 8.933
Er 5.504 4.532 7.457
Er 5.795 1.472 6.807
Er 6.766 5.245 4.670
```


# 8
# La16Tb6Er7

A relaxed La16Tb6Er7 crystal (PBE-GGA, Alexandria).

Values from the calculation:
Size of the total moment (μB per formula unit): 0.000
DOS at the Fermi energy (states/eV/cell): 45.0
ΔE_f (eV/atom): 0.188
Uncorrected energy (eV per atom): -4.59
SG: Fm-3m

Cell and atoms, written as extended XYZ:
```
29
Lattice="9.921 0.000 5.728 3.307 9.354 5.728 0.000 0.000 11.456" Properties=species:S:1:pos:R:3 pbc="T T T"
Tb 5.024 6.926 14.211
Er 0.000 0.000 5.728
La 3.307 5.827 5.728
Er 4.961 0.000 2.864
La 1.663 1.176 8.577
La 8.570 6.060 14.844
La 4.658 3.294 8.068
Tb 8.205 2.428 8.702
Tb 5.024 6.926 8.702
La 11.566 8.178 20.033
La 11.566 8.178 14.336
Tb 9.795 6.926 11.456
La 10.526 3.294 11.456
La 4.658 3.294 14.844
Er 0.000 0.000 0.000
Tb 3.433 2.428 11.456
La 6.614 0.528 11.456
La 6.596 1.176 5.728
La 8.570 6.060 8.068
La 9.921 3.527 17.184
Tb 8.205 2.428 14.211
Er 1.654 4.677 8.592
La 6.632 8.178 17.184
La 6.614 8.826 11.456
Er 1.654 4.677 2.864
Er 6.614 4.677 5.728
La 1.663 1.176 2.880
Er 4.961 0.000 8.592
La 2.702 6.060 11.456
```


# 9
# La2Tb7Er2

A relaxed La2Tb7Er2 crystal (PBE-GGA, Alexandria).

Values from the calculation:
Size of the total moment (μB per formula unit): 0.000
DOS at the Fermi energy (states/eV/cell): 18.8
ΔE_f (eV/atom): 0.339
Uncorrected energy (eV per atom): -4.33
SG: C2/m

Cell and atoms, written as extended XYZ:
```
11
Lattice="-5.357 1.073 -4.258 -0.190 -9.194 -2.039 -0.725 -1.494 6.725" Properties=species:S:1:pos:R:3 pbc="T T T"
Tb -0.494 -7.050 1.957
Tb -3.075 -1.871 0.865
Tb 0.000 0.000 0.000
Tb -3.538 -7.261 3.192
Tb -2.734 -2.354 -2.764
Er -4.093 0.369 -1.261
Tb -5.778 -2.565 -1.530
Er -2.179 -9.984 1.688
La -4.647 -4.912 0.827
La -1.624 -4.703 -0.400
Tb -3.197 -7.744 -0.438
```


# 10
# La3TbEr

A relaxed La3TbEr crystal (PBE-GGA, Alexandria).

Values from the calculation:
Size of the total moment (μB per formula unit): 0.000
DOS at the Fermi energy (states/eV/cell): 28.9
ΔE_f (eV/atom): 0.057
Uncorrected energy (eV per atom): -4.74
SG: C2/c

Cell and atoms, written as extended XYZ:
```
20
Lattice="-1.366 5.580 -3.468 -9.569 2.129 3.325 2.503 7.303 6.896" Properties=species:S:1:pos:R:3 pbc="T T T"
La -7.302 10.859 5.715
Tb -0.825 10.501 3.613
La -1.130 4.154 1.037
Tb 1.371 8.359 5.795
La -7.197 7.825 3.475
Tb -7.606 4.512 3.139
Tb -9.803 6.653 0.957
La -4.157 2.853 0.149
La -6.347 8.080 0.233
La -8.139 7.421 6.993
Er -3.277 9.375 1.098
La -2.084 6.933 6.520
Er -4.271 5.866 2.336
La -1.235 7.188 3.277
Er -5.154 5.638 5.655
La -3.319 6.299 -1.143
La -5.113 8.714 7.895
Er -4.161 9.146 4.416
La -4.275 12.160 6.603
La -0.293 7.592 -0.240
```


# 11
# La7Tb2Er

A relaxed La7Tb2Er crystal (PBE-GGA, Alexandria).

Values from the calculation:
Size of the total moment (μB per formula unit): 0.001
DOS at the Fermi energy (states/eV/cell): 16.7
ΔE_f (eV/atom): 0.329
Uncorrected energy (eV per atom): -4.50
SG: Cmmm

Cell and atoms, written as extended XYZ:
```
10
Lattice="3.551 0.000 0.000 0.000 10.121 -2.761 0.000 -0.663 10.470" Properties=species:S:1:pos:R:3 pbc="T T T"
Tb 1.775 1.113 8.290
La 1.775 5.658 7.453
La 0.000 6.680 1.461
La 0.000 2.778 6.248
La 1.775 4.729 3.854
Er 0.000 0.000 0.000
La 1.775 3.799 0.256
La 1.775 1.017 3.670
La 1.775 8.441 4.039
Tb 1.775 8.344 -0.581
```


# 12
# LaTb4Er4

A relaxed LaTb4Er4 crystal (PBE-GGA, Alexandria).

Values from the calculation:
Size of the total moment (μB per formula unit): 0.000
DOS at the Fermi energy (states/eV/cell): 30.8
ΔE_f (eV/atom): 0.039
Uncorrected energy (eV per atom): -4.59
SG: P-1

Cell and atoms, written as extended XYZ:
```
18
Lattice="7.498 -3.957 1.782 -3.857 8.750 1.337 2.594 2.746 13.500" Properties=species:S:1:pos:R:3 pbc="T T T"
Tb 2.491 7.301 13.491
La 3.528 4.607 11.249
Tb -0.532 3.835 3.409
Tb -1.689 6.925 2.066
Tb 6.768 3.704 13.210
Er 0.680 1.171 1.216
La 2.707 2.931 5.370
Tb -0.384 8.312 7.944
Er 1.142 5.898 5.818
Er 0.768 5.252 9.248
Tb 6.619 -0.774 8.675
Tb 7.924 0.614 14.553
Er 5.094 1.640 10.801
Er 3.961 5.272 7.774
Tb 3.745 0.237 3.128
Er 2.274 2.267 8.846
Er 5.556 6.367 15.403
Er 5.468 2.286 7.371
```


# 13
# La7Tb12Er

A relaxed La7Tb12Er crystal (PBE-GGA, Alexandria).

Values from the calculation:
Size of the total moment (μB per formula unit): 0.000
DOS at the Fermi energy (states/eV/cell): 30.1
ΔE_f (eV/atom): 0.606
Uncorrected energy (eV per atom): -4.12
SG: Im-3m

Cell and atoms, written as extended XYZ:
```
20
Lattice="9.308 0.000 -3.291 -4.654 8.061 -3.291 0.000 0.000 9.872" Properties=species:S:1:pos:R:3 pbc="T T T"
Tb 5.797 6.079 -3.347
Tb 3.510 6.080 0.056
Tb 1.223 6.079 3.291
La 4.654 0.000 3.291
La 2.327 4.030 1.645
Tb 0.000 3.962 0.000
Tb -2.366 8.060 3.347
La 2.327 4.030 -3.291
Tb -1.223 6.080 -3.290
Tb 5.876 1.981 6.581
Er 0.000 0.000 0.000
La -2.327 4.030 3.291
Tb 1.144 1.981 3.235
Tb 4.654 4.099 3.290
Tb 7.020 0.001 -0.056
La -2.327 4.030 -1.645
La 4.654 0.000 -1.645
Tb -1.143 1.981 6.637
Tb 3.431 1.981 0.000
La 0.000 0.000 4.936
```


# 14
# La3Tb3Er8

A relaxed La3Tb3Er8 crystal (PBE-GGA, Alexandria).

Values from the calculation:
Size of the total moment (μB per formula unit): 0.000
DOS at the Fermi energy (states/eV/cell): 23.2
ΔE_f (eV/atom): 0.104
Uncorrected energy (eV per atom): -4.55
SG: Immm

Cell and atoms, written as extended XYZ:
```
14
Lattice="-2.831 7.598 5.382 2.831 -7.598 5.382 2.831 7.598 -5.382" Properties=species:S:1:pos:R:3 pbc="T T T"
Er 2.831 4.280 1.745
Er 0.000 9.145 1.713
Tb 0.000 0.000 2.185
Er 2.831 -1.547 3.669
Er 0.000 3.318 7.127
Er 2.831 1.547 3.669
Er 0.000 6.052 1.713
La 2.831 0.000 0.000
La 0.000 12.365 0.000
Tb 0.000 0.000 8.579
Er 2.831 4.280 -1.745
Er 0.000 3.318 3.637
Tb 0.000 0.000 5.382
La 0.000 2.832 0.000
```


# 15
# La2Tb8Er

A relaxed La2Tb8Er crystal (PBE-GGA, Alexandria).

Values from the calculation:
Size of the total moment (μB per formula unit): 0.000
DOS at the Fermi energy (states/eV/cell): 17.0
ΔE_f (eV/atom): 0.026
Uncorrected energy (eV per atom): -4.65
SG: C2/m

Cell and atoms, written as extended XYZ:
```
11
Lattice="-2.294 4.174 -1.779 -1.260 -3.687 -7.027 -6.232 -3.975 5.972" Properties=species:S:1:pos:R:3 pbc="T T T"
Tb -1.562 -2.850 -4.673
Tb -4.952 -1.939 -5.429
Tb -2.202 -1.153 0.134
Tb -4.833 -1.550 2.596
Tb -7.584 -2.335 -2.967
Tb -8.224 -0.639 1.839
La -4.151 -3.206 -2.171
Tb -6.757 -3.573 0.328
Tb -3.029 0.084 -3.162
La -5.635 -0.282 -0.662
Er -1.147 2.087 -0.890
```


# 16
# LaTb4Er6

A relaxed LaTb4Er6 crystal (PBE-GGA, Alexandria).

Values from the calculation:
Size of the total moment (μB per formula unit): 0.000
DOS at the Fermi energy (states/eV/cell): 17.7
ΔE_f (eV/atom): 0.450
Uncorrected energy (eV per atom): -4.17
SG: I-42m

Cell and atoms, written as extended XYZ:
```
11
Lattice="-3.178 7.078 -0.369 -3.448 -1.191 6.858 8.397 -0.505 -0.265" Properties=species:S:1:pos:R:3 pbc="T T T"
Er 1.471 3.048 3.543
La -3.313 2.943 3.245
Tb -0.356 1.340 1.520
Er -1.724 -0.596 3.429
Er -1.589 3.539 -0.184
Er 4.896 0.005 0.189
Er -1.343 5.992 2.491
Er -1.482 1.718 6.226
Tb 4.426 4.836 0.132
Tb -4.774 5.265 5.846
Tb 4.246 -0.677 4.950
```


# 17
# LaTbEr5

A relaxed LaTbEr5 crystal (PBE-GGA, Alexandria).

Values from the calculation:
Size of the total moment (μB per formula unit): 0.001
DOS at the Fermi energy (states/eV/cell): 9.7
ΔE_f (eV/atom): 1.135
Uncorrected energy (eV per atom): -3.49
SG: Immm

Cell and atoms, written as extended XYZ:
```
7
Lattice="5.774 0.000 0.000 2.887 7.289 0.488 2.887 1.784 7.084" Properties=species:S:1:pos:R:3 pbc="T T T"
Er 5.774 2.306 1.925
Er 5.774 6.303 1.670
Er 5.774 6.767 5.648
La 0.000 0.000 0.000
Er 2.887 4.536 3.786
Er 5.774 2.770 5.902
Tb 5.774 4.536 3.786
```


# 18
# LaTb5Er5

A relaxed LaTb5Er5 crystal (PBE-GGA, Alexandria).

Values from the calculation:
Size of the total moment (μB per formula unit): 0.005
DOS at the Fermi energy (states/eV/cell): 20.4
ΔE_f (eV/atom): 0.309
Uncorrected energy (eV per atom): -4.32
SG: P-6m2

Cell and atoms, written as extended XYZ:
```
11
Lattice="-4.145 -0.654 4.377 4.570 -3.957 -0.463 6.445 6.613 7.092" Properties=species:S:1:pos:R:3 pbc="T T T"
Er 0.531 2.101 7.116
Er 4.737 4.859 5.212
Tb 0.000 0.000 0.000
Tb 6.002 1.593 5.922
Er 2.603 2.428 4.928
Er 2.815 0.123 6.884
Tb 4.188 3.814 8.736
Tb -0.222 -0.711 3.883
Tb 3.773 -0.694 3.470
Er 1.709 1.753 1.880
La 1.665 -2.856 1.150
```


# 19
# LaTb8Er2

A relaxed LaTb8Er2 crystal (PBE-GGA, Alexandria).

Values from the calculation:
Size of the total moment (μB per formula unit): 0.000
DOS at the Fermi energy (states/eV/cell): 16.7
ΔE_f (eV/atom): 0.119
Uncorrected energy (eV per atom): -4.53
SG: Immm

Cell and atoms, written as extended XYZ:
```
11
Lattice="5.294 0.000 -1.608 -1.004 7.434 -3.306 -0.051 -0.367 9.353" Properties=species:S:1:pos:R:3 pbc="T T T"
Er 3.907 2.016 3.344
Tb 3.552 5.968 2.177
Tb 2.529 6.184 -1.194
Er 0.332 5.052 1.095
Tb 1.711 0.884 5.633
Tb 1.299 3.931 4.278
La 2.647 0.000 -0.804
Tb 4.945 1.838 6.765
Tb 0.687 1.099 2.263
Tb -0.706 5.229 -2.326
Tb 2.940 3.136 0.161
```